[1]
K4HoTc3O12 | PBE-GGA | optimized geometry

For the formation energy from raw total energies, the calculation gives -1.78 eV/atom. Its symmetry is No. 229. As for the total energy: -135.1 eV per formula unit.

a = 7.0032 Å, b = 7.0032 Å, c = 7.0032 Å
α = 109.47°, β = 109.47°, γ = 109.47°
Closest atoms and distances in Å follow each position.
Atoms (fractional coordinates):
O1 0.2693 0.2693 0.0000  1 Tc 1.87
Tc1 0.5000 0.0000 0.5000  6 O 1.87-2.02
Tc2 0.0000 0.5000 0.5000  6 O 1.87-2.02
O2 0.5000 0.7500 0.2500  2 Tc 2.02
K1 0.0000 0.5000 0.0000  12 O 2.86
O3 0.2500 0.5000 0.7500  2 Tc 2.02
K2 0.0000 0.0000 0.5000  12 O 2.86
K3 0.5000 0.0000 0.0000  12 O 2.86
Tc3 0.5000 0.5000 0.0000  6 O 1.87-2.02
O4 0.7500 0.5000 0.2500  2 Tc 2.02
O5 0.2500 0.7500 0.5000  2 Tc 2.02
O6 0.7307 0.7307 0.0000  1 Tc 1.87
O7 0.7307 0.0000 0.7307  1 Tc 1.87
O8 0.5000 0.2500 0.7500  2 Tc 2.02
O9 0.2693 0.0000 0.2693  1 Tc 1.87
O10 0.0000 0.2693 0.2693  1 Tc 1.87
O11 0.7500 0.2500 0.5000  2 Tc 2.02
O12 0.0000 0.7307 0.7307  1 Tc 1.87
K4 0.5000 0.5000 0.5000  12 O 2.86
Ho1 0.0000 0.0000 0.0000  6 O 2.18

***

[2]
MgMo2 | PBE-GGA | optimized geometry

The value obtained for the energy of formation from the pure elements is 93 kJ/mol of formula units. Its symmetry is No. 63. As for the total energy: -22.3 eV per formula unit.

a = 8.0508 Å, b = 8.0508 Å, c = 4.7017 Å
α = 90.00°, β = 90.00°, γ = 161.00°
Closest atoms and distances in Å follow each position.
Atoms (fractional coordinates):
Mo1 0.7128 0.2872 0.7500  8 Mo 2.66-2.96, 2 Mg 2.79
Mo2 0.0461 0.9539 0.7500  6 Mo 2.66-2.96, 6 Mg 2.92-2.93
Mo3 0.9539 0.0461 0.2500  6 Mo 2.66-2.96, 6 Mg 2.92-2.93
Mg1 0.6178 0.3822 0.2500  2 Mg 2.66, 8 Mo 2.79-2.93
Mg2 0.3822 0.6178 0.7500  2 Mg 2.66, 8 Mo 2.79-2.93
Mo4 0.2872 0.7128 0.2500  8 Mo 2.66-2.96, 2 Mg 2.79

***

[3]
Cd5AgPd | PBE-GGA | optimized geometry

The value obtained for the energy of formation from the pure elements is 133 kJ/mol of formula units. Its symmetry is No. 44. As for the total energy: -11.2 eV per formula unit.

a = 5.1479 Å, b = 7.9245 Å, c = 7.0970 Å
α = 123.94°, β = 111.26°, γ = 90.00°
Closest atoms and distances in Å follow each position.
Atoms (fractional coordinates):
Cd1 0.6312 0.5000 0.0000  2 Ag 2.55-2.60
Cd2 0.9464 0.2451 0.4901  1 Pd 2.63, 1 Ag 2.73
Cd3 0.2912 0.1737 0.0000  1 Ag 2.72, 1 Cd 2.75, 2 Pd 2.90-2.93
Ag1 0.1265 0.5000 0.0000  6 Cd 2.55-2.73
Pd1 0.7878 0.0000 0.0000  6 Cd 2.63-2.93
Cd4 0.2912 0.8263 0.0000  1 Ag 2.72, 1 Cd 2.75, 2 Pd 2.90-2.93
Cd5 0.4563 0.7549 0.5099  1 Pd 2.63, 1 Ag 2.73

***

[4]
Zn2ReNi9 | PBE-GGA | optimized geometry

The value obtained for the energy of formation from the pure elements is -107 kJ/mol of formula units. Its symmetry is No. 123. As for the total energy: -68.1 eV per formula unit.

a = 3.5912 Å, b = 3.5912 Å, c = 10.7482 Å
α = 90.00°, β = 90.00°, γ = 90.00°
Closest atoms and distances in Å follow each position.
Atoms (fractional coordinates):
Ni1 0.0000 0.5000 0.1645  8 Ni 2.52-2.56, 2 Re 2.52, 2 Zn 2.58
Zn1 0.0000 0.0000 0.3366  12 Ni 2.51-2.58
Zn2 0.0000 0.0000 0.6634  12 Ni 2.51-2.58
Ni2 0.0000 0.5000 0.5000  4 Zn 2.51, 8 Ni 2.53-2.54
Ni3 0.5000 0.0000 0.5000  4 Zn 2.51, 8 Ni 2.53-2.54
Ni4 0.0000 0.5000 0.8355  8 Ni 2.52-2.56, 2 Re 2.52, 2 Zn 2.58
Ni5 0.5000 0.0000 0.1645  8 Ni 2.52-2.56, 2 Re 2.52, 2 Zn 2.58
Ni6 0.5000 0.0000 0.8355  8 Ni 2.52-2.56, 2 Re 2.52, 2 Zn 2.58
Re1 0.0000 0.0000 0.0000  12 Ni 2.52-2.54
Ni7 0.5000 0.5000 0.0000  8 Ni 2.52, 4 Re 2.54
Ni8 0.5000 0.5000 0.6662  8 Ni 2.53-2.56, 4 Zn 2.54
Ni9 0.5000 0.5000 0.3338  8 Ni 2.53-2.56, 4 Zn 2.54

***

[5]
Nd12Tl5Co2 | PBE-GGA | optimized geometry

The value obtained for the energy of formation from the pure elements is -106 kJ/mol of formula units. Its symmetry is No. 12. As for the total energy: -84.4 eV per formula unit.

a = 7.8669 Å, b = 9.5023 Å, c = 10.0950 Å
α = 105.42°, β = 90.00°, γ = 114.45°
Closest atoms and distances in Å follow each position.
Atoms (fractional coordinates):
Nd1 0.5758 0.6876 0.9214  1 Co 2.59
Nd2 0.5015 0.0031 0.7712  2 Co 2.84
Tl1 0.6969 0.3938 0.8376  7 Nd 3.21-3.28
Tl2 0.0000 0.0000 0.5000  6 Nd 3.19-3.24
Co1 0.7076 0.0000 0.0000  4 Nd 2.59-2.84
Nd3 0.9089 0.3071 0.5778  4 Tl 3.19-3.21
Tl3 0.3031 0.6062 0.1624  7 Nd 3.21-3.28
Nd4 0.0005 0.0010 0.1793  2 Co 2.93, 1 Tl 3.24
Nd5 0.8881 0.3124 0.0786  1 Co 2.59
Nd6 0.9995 0.9990 0.8207  2 Co 2.93, 1 Tl 3.24
Tl4 0.6926 0.3853 0.3605  7 Nd 3.19-3.28
Tl5 0.3074 0.6147 0.6395  7 Nd 3.19-3.28
Nd7 0.0911 0.6929 0.4222  4 Tl 3.19-3.21
Nd8 0.1119 0.6876 0.9214  1 Co 2.59
Nd9 0.6018 0.6929 0.4222  4 Tl 3.19-3.21
Nd10 0.3982 0.3071 0.5778  4 Tl 3.19-3.21
Nd11 0.4985 0.9970 0.2288  2 Co 2.84
Nd12 0.4242 0.3124 0.0786  1 Co 2.59
Co2 0.2924 0.0000 0.0000  4 Nd 2.59-2.84

***

[6]
Tl3IrS | PBE-GGA | optimized geometry

For the formation energy from raw total energies, the calculation gives 1.06 eV/atom. Its symmetry is No. 221. As for the total energy: -14.8 eV per formula unit.

a = 5.3367 Å, b = 5.3367 Å, c = 5.3367 Å
α = 90.00°, β = 90.00°, γ = 90.00°
Closest atoms and distances in Å follow each position.
Atoms (fractional coordinates):
S1 0.0000 0.0000 0.0000  6 Tl 2.67
Tl1 0.0000 0.0000 0.5000  2 S 2.67
Ir1 0.5000 0.5000 0.5000  12 Tl 3.77
Tl2 0.5000 0.0000 0.0000  2 S 2.67
Tl3 0.0000 0.5000 0.0000  2 S 2.67

***

[7]
Re4Au | PBE-GGA | optimized geometry

The value obtained for the energy of formation from the pure elements is 119 kJ/mol of formula units. Its symmetry is No. 87. As for the total energy: -51.8 eV per formula unit.

a = 4.8226 Å, b = 4.8226 Å, c = 4.8226 Å
α = 99.86°, β = 99.86°, γ = 131.11°
Closest atoms and distances in Å follow each position.
Atoms (fractional coordinates):
Re1 0.4154 0.1963 0.6118  9 Re 2.65-2.94, 3 Au 2.80-2.85
Re2 0.5846 0.8037 0.3882  9 Re 2.65-2.94, 3 Au 2.80-2.85
Au1 0.0000 0.0000 0.0000  12 Re 2.80-2.85
Re3 0.8037 0.4154 0.2191  9 Re 2.65-2.94, 3 Au 2.80-2.85
Re4 0.1963 0.5846 0.7809  9 Re 2.65-2.94, 3 Au 2.80-2.85

***

[8]
Pm2GaRu | PBE-GGA | optimized geometry

The value obtained for the energy of formation from the pure elements is -140 kJ/mol of formula units. Its symmetry is No. 123. As for the total energy: -23.3 eV per formula unit.

a = 3.5770 Å, b = 3.5770 Å, c = 7.2408 Å
α = 90.00°, β = 90.00°, γ = 90.00°
Closest atoms and distances in Å follow each position.
Atoms (fractional coordinates):
Ru1 0.5000 0.5000 0.0000  8 Pm 3.04
Pm1 0.0000 0.0000 0.7660  4 Ru 3.04, 4 Ga 3.18, 1 Pm 3.39
Pm2 0.0000 0.0000 0.2340  4 Ru 3.04, 4 Ga 3.18, 1 Pm 3.39
Ga1 0.5000 0.5000 0.5000  8 Pm 3.18

***

[9]
La5PmPrNd2 | PBE-GGA | optimized geometry

The value obtained for the energy of formation from the pure elements is 203 kJ/mol of formula units. Its symmetry is No. 140. As for the total energy: -41.6 eV per formula unit.

a = 9.0590 Å, b = 9.0590 Å, c = 10.2168 Å
α = 116.32°, β = 116.32°, γ = 90.00°
Closest atoms and distances in Å follow each position.
Atoms (fractional coordinates):
La1 0.6604 0.1604 0.7240  1 Pm 3.14, 1 Nd 3.19
La2 0.4364 0.3396 0.2760  1 Pm 3.14, 1 Nd 3.19
La3 0.8396 0.9364 0.2760  1 Pm 3.14, 1 Nd 3.19
La4 0.0636 0.5636 0.7240  1 Pm 3.14, 1 Nd 3.19
Pr1 0.2500 0.2500 0.5000  10 La 3.72-3.98
Pr2 0.7500 0.7500 0.5000  10 La 3.72-3.98
La5 0.1604 0.0636 0.7240  1 Pm 3.14, 1 Nd 3.19
La6 0.9364 0.4364 0.2760  1 Pm 3.14, 1 Nd 3.19
Nd1 0.6179 0.1179 0.0000  1 Nd 3.02, 2 La 3.19
La7 0.5000 0.5000 0.0000  4 Nd 3.62, 8 La 3.93, 2 Pr 3.98
La8 0.0000 0.0000 0.0000  4 Nd 3.62, 8 La 3.93, 2 Pr 3.98
La9 0.3396 0.8396 0.2760  1 Pm 3.14, 1 Nd 3.19
Nd2 0.3821 0.8821 0.0000  1 Nd 3.02, 2 La 3.19
La10 0.5636 0.6604 0.7240  1 Pm 3.14, 1 Nd 3.19
Nd3 0.8821 0.6179 0.0000  1 Nd 3.02, 2 La 3.19
Nd4 0.1179 0.3821 0.0000  1 Nd 3.02, 2 La 3.19
Pm1 0.7500 0.2500 0.5000  4 La 3.14
Pm2 0.2500 0.7500 0.5000  4 La 3.14

***

[10]
Dy3Tm2In2 | PBE-GGA | optimized geometry

The value obtained for the energy of formation from the pure elements is -72 kJ/mol of formula units. Its symmetry is No. 12. As for the total energy: -29.0 eV per formula unit.

a = 3.4508 Å, b = 7.8772 Å, c = 8.5349 Å
α = 117.77°, β = 101.66°, γ = 90.00°
Closest atoms and distances in Å follow each position.
Atoms (fractional coordinates):
In1 0.4349 0.0991 0.8698  3 In 3.23-3.45, 5 Dy 3.30-3.39, 4 Tm 3.31-3.45
In2 0.5651 0.9009 0.1302  3 In 3.23-3.45, 5 Dy 3.30-3.39, 4 Tm 3.31-3.45
Dy1 0.7897 0.2041 0.5794  5 Dy 3.16-3.45, 3 In 3.36-3.39, 3 Tm 3.45-3.46
Tm1 0.1383 0.3061 0.2766  4 In 3.31-3.45, 4 Dy 3.32-3.46, 2 Tm 3.45
Dy2 0.2103 0.7959 0.4206  5 Dy 3.16-3.45, 3 In 3.36-3.39, 3 Tm 3.45-3.46
Dy3 0.0000 0.5000 0.0000  4 Dy 3.16-3.45, 4 In 3.30, 2 Tm 3.32
Tm2 0.8617 0.6939 0.7234  4 In 3.31-3.45, 4 Dy 3.32-3.46, 2 Tm 3.45

***

[11]
BaAgOs2 | PBE-GGA | optimized geometry

The value obtained for the energy of formation from the pure elements is 524 kJ/mol of formula units. Its symmetry is No. 123. As for the total energy: -21.8 eV per formula unit.

a = 5.0459 Å, b = 4.0523 Å, c = 4.0523 Å
α = 90.00°, β = 90.00°, γ = 90.00°
Closest atoms and distances in Å follow each position.
Atoms (fractional coordinates):
Ag1 0.5000 0.5000 0.0000  4 Ba 2.87
Os1 0.0000 0.0000 0.0000  4 Os 2.87
Ba1 0.5000 0.0000 0.5000  4 Ag 2.87
Os2 0.0000 0.5000 0.5000  4 Os 2.87

***

[12]
BaMgAgSn2 | PBE-GGA | optimized geometry

The value obtained for the energy of formation from the pure elements is -218 kJ/mol of formula units. Its symmetry is No. 119. As for the total energy: -16.6 eV per formula unit.

a = 4.8274 Å, b = 4.8274 Å, c = 7.0095 Å
α = 110.14°, β = 110.14°, γ = 90.00°
Closest atoms and distances in Å follow each position.
Atoms (fractional coordinates):
Mg1 0.7500 0.2500 0.5000  4 Sn 2.90
Ag1 0.2500 0.7500 0.5000  4 Sn 2.90
Ba1 0.0000 0.0000 0.0000  8 Sn 3.71, 4 Mg 3.90, 4 Ag 3.90
Sn1 0.3807 0.3807 0.7614  2 Ag 2.90, 2 Mg 2.90, 1 Sn 2.92
Sn2 0.6193 0.6193 0.2386  2 Mg 2.90, 2 Ag 2.90, 1 Sn 2.92